No. 1
Density functional theory data (PBE-GGA) for a relaxed structure of TiSnI.

Results
The uncorrected formation energy is -205 meV/atom. The value obtained for the total magnetization is 0.0 μB per formula unit.

a = 3.481 Å, b = 6.923 Å, c = 7.020 Å
α = 90.05°, β = 104.33°, γ = 90.01°
Space group P-1 (No. 2)
Unique sites:
Ti 0.241 0.216 0.482 (multiplicity 2)
Sn 0.402 0.923 0.805 (multiplicity 2)
I 0.135 0.587 0.269 (multiplicity 2)

=====

No. 2
Density functional theory data (PBE-GGA) for a relaxed structure of TiTlSnI6.

Results
The uncorrected formation energy is -627 meV/atom. The value obtained for the total magnetization is 1.0 μB per formula unit.

a = 7.8455 Å, b = 7.8455 Å, c = 7.4069 Å
α = 90.00°, β = 90.00°, γ = 120.00°
Space group P312 (No. 149)
Unique sites:
Ti 0.0000 0.0000 0.0000 (multiplicity 1)
Tl 0.3333 0.6667 0.5000 (multiplicity 1)
Sn 0.6667 0.3333 0.0000 (multiplicity 1)
I 0.3007 0.0173 0.2242 (multiplicity 6)

=====

No. 3
Density functional theory data (PBE-GGA) for a relaxed structure of Tl3Sn5I12.

Results
The uncorrected formation energy is -411 meV/atom. The value obtained for the total magnetization is 0.0 μB per formula unit.

a = 19.863 Å, b = 19.863 Å, c = 19.863 Å
α = 90.00°, β = 90.00°, γ = 90.00°
Space group Ia-3d (No. 230)
Unique sites:
Tl 0.000 0.250 0.125 (multiplicity 24)
Sn 0.000 0.000 0.000 (multiplicity 16)
Sn 0.000 0.250 0.375 (multiplicity 24)
I 0.026 0.063 0.648 (multiplicity 96)

=====

No. 4
Density functional theory data (PBE-GGA) for a relaxed structure of Tl2SnI4.

Results
The energy above the lowest structure with this stoichiometry comes out at 0.0 meV per atom. The uncorrected formation energy is -595 meV/atom. The value obtained for the total magnetization is 0.0 μB per formula unit.

a = 10.306 Å, b = 14.039 Å, c = 4.745 Å
α = 90.00°, β = 90.00°, γ = 90.00°
Space group Cmmm (No. 65)
Unique sites:
Tl 0.250 0.250 0.000 (multiplicity 4)
Sn 0.000 0.000 0.500 (multiplicity 2)
I 0.000 0.231 0.500 (multiplicity 4)
I 0.215 0.000 0.000 (multiplicity 4)

=====

No. 5
Density functional theory data (PBE-GGA) for a relaxed structure of TlSnI2.

Results
The energy above the lowest structure with this stoichiometry comes out at 84.6 meV per atom. The uncorrected formation energy is -159 meV/atom. The value obtained for the total magnetization is 0.3 μB per formula unit.

a = 6.383 Å, b = 6.383 Å, c = 19.415 Å
α = 90.00°, β = 90.00°, γ = 90.00°
Space group I-42d (No. 122)
Unique sites:
Tl 0.000 0.000 0.000 (multiplicity 4)
Sn 0.000 0.000 0.500 (multiplicity 4)
I 0.214 0.250 0.625 (multiplicity 8)

=====

No. 6
Density functional theory data (PBE-GGA) for a relaxed structure of Tl4SnI6.

Results
The energy above the lowest structure with this stoichiometry comes out at 0.0 meV per atom. The uncorrected formation energy is -608 meV/atom. The value obtained for the total magnetization is 0.0 μB per formula unit.

a = 10.014 Å, b = 19.625 Å, c = 4.619 Å
α = 90.00°, β = 90.00°, γ = 90.00°
Space group Pbam (No. 55)
Unique sites:
Tl 0.105 0.081 0.000 (multiplicity 4)
Tl 0.223 0.798 0.000 (multiplicity 4)
Sn 0.000 0.500 0.500 (multiplicity 2)
I 0.059 0.611 0.000 (multiplicity 4)
I 0.083 0.213 0.500 (multiplicity 4)
I 0.199 0.948 0.500 (multiplicity 4)

=====

No. 7
Density functional theory data (PBE-GGA) for a relaxed structure of Tl3SnI5.

Results
The uncorrected formation energy is -591 meV/atom. The value obtained for the total magnetization is 0.0 μB per formula unit.

a = 8.987 Å, b = 9.973 Å, c = 16.457 Å
α = 90.00°, β = 90.00°, γ = 90.00°
Space group P2_12_12_1 (No. 19)
Unique sites:
Tl 0.055 0.087 0.220 (multiplicity 4)
Tl 0.078 0.176 0.527 (multiplicity 4)
Tl 0.219 0.705 0.446 (multiplicity 4)
Sn 0.072 0.570 0.700 (multiplicity 4)
I 0.082 0.998 0.973 (multiplicity 4)
I 0.089 0.849 0.633 (multiplicity 4)
I 0.103 0.453 0.106 (multiplicity 4)
I 0.228 0.200 0.728 (multiplicity 4)
I 0.232 0.350 0.351 (multiplicity 4)

=====

No. 8
Density functional theory data (PBE-GGA) for a relaxed structure of Tl4SnI6.

Results
The energy above the lowest structure with this stoichiometry comes out at 2.3 meV per atom. The uncorrected formation energy is -605 meV/atom. The value obtained for the total magnetization is 0.0 μB per formula unit.

a = 9.449 Å, b = 9.449 Å, c = 10.248 Å
α = 90.00°, β = 90.00°, γ = 90.00°
Space group P4/mnc (No. 128)
Unique sites:
Tl 0.164 0.336 0.250 (multiplicity 8)
Sn 0.000 0.000 0.000 (multiplicity 2)
I 0.000 0.000 0.306 (multiplicity 4)
I 0.129 0.685 0.000 (multiplicity 8)

=====

The highest total magnetization belongs to which entry? TiTlSnI6

=====

What is the uncorrected formation energy in the eighth record? -605 meV/atom